LiAsOs2: optimized geometry, PBE.

Summary:
Formation enthalpy at 0 K: 0.293 eV per atom
Size of the total moment: 0.00 μB/cell
E_tot: -6.9629 eV per atom
Fermi-level density of states: 1.141 states/eV per atom

Cell lengths 8.5282, 2.8027, 4.7428 Å; angles 90.00, 97.28, 90.00 degrees
Space group C2/m (No. 12)
Symmetry-distinct sites (fractional):
Li  0.0000  0.0000  0.0000
As  0.0000  0.5000  0.5000
Os  0.2466  0.0000  0.7636